Entry w
VASP calculation (PBE) on a relaxed Si2MoBr crystal.

Output
N(E_F) (states/eV/cell): 2.65

```
data_Si2MoBr
_cell_length_a 3.2647
_cell_length_b 3.2647
_cell_length_c 6.5682
_cell_angle_alpha 90.00
_cell_angle_beta 90.00
_cell_angle_gamma 90.00
_symmetry_space_group_name_H-M 'P 4/m m m'
_symmetry_Int_Tables_number 123
_symmetry_space_group_name_Hall '-P 4 2'
loop_
_atom_site_label
_atom_site_fract_x
_atom_site_fract_y
_atom_site_fract_z
_atom_site_occupancy
Si1 0.0000 0.0000 0.1894 1
Mo1 0.5000 0.5000 0.0000 1
Br1 0.5000 0.5000 0.5000 1
```

Entry x
VASP calculation (PBE) on a relaxed Si2MoBr crystal.

Output
N(E_F) (states/eV/cell): 4.24

```
data_Si2MoBr
_cell_length_a 8.4703
_cell_length_b 3.2935
_cell_length_c 6.0695
_cell_angle_alpha 90.00
_cell_angle_beta 107.57
_cell_angle_gamma 90.00
_symmetry_space_group_name_H-M 'C 1 2/m 1'
_symmetry_Int_Tables_number 12
loop_
_symmetry_equiv_pos_as_xyz
'x,y,z'
'-x,-y,-z'
'-x,y,-z'
'x,-y,z'
'x+1/2,y+1/2,z'
'-x+1/2,-y+1/2,-z'
'-x+1/2,y+1/2,-z'
'x+1/2,-y+1/2,z'
loop_
_atom_site_label
_atom_site_fract_x
_atom_site_fract_y
_atom_site_fract_z
_atom_site_occupancy
Si1 0.2316 0.0000 0.1361 1
Mo1 0.0000 0.5000 0.0000 1
Br1 0.0000 0.5000 0.5000 1
```

Entry y
VASP calculation (PBE) on a relaxed Si2MoBr crystal.

Output
N(E_F) (states/eV/cell): 6.82

```
data_Si2MoBr
_cell_length_a 5.6168
_cell_length_b 7.7144
_cell_length_c 2.9964
_cell_angle_alpha 90.00
_cell_angle_beta 90.00
_cell_angle_gamma 90.00
_symmetry_space_group_name_H-M 'C m m m'
_symmetry_Int_Tables_number 65
_symmetry_space_group_name_Hall '-C 2 2'
loop_
_atom_site_label
_atom_site_fract_x
_atom_site_fract_y
_atom_site_fract_z
_atom_site_occupancy
Si1 0.2500 0.2500 0.0000 1
Mo1 0.0000 0.0000 0.5000 1
Br1 0.0000 0.5000 0.5000 1
```

Entry z
VASP calculation (PBE) on a relaxed Si2MoBr crystal.

Output
N(E_F) (states/eV/cell): 7.99

```
data_Si2MoBr
_cell_length_a 7.7550
_cell_length_b 3.2818
_cell_length_c 7.4284
_cell_angle_alpha 90.00
_cell_angle_beta 116.23
_cell_angle_gamma 90.00
_symmetry_space_group_name_H-M 'C 1 m 1'
_symmetry_Int_Tables_number 8
loop_
_symmetry_equiv_pos_as_xyz
'x,y,z'
'x,-y,z'
'x+1/2,y+1/2,z'
'x+1/2,-y+1/2,z'
loop_
_atom_site_label
_atom_site_fract_x
_atom_site_fract_y
_atom_site_fract_z
_atom_site_occupancy
Si1 0.0000 0.0000 0.0000 1
Si2 0.2396 0.0000 0.8606 1
Mo1 0.2776 0.5000 0.1557 1
Br1 0.4576 0.0000 0.4528 1
```

Most stable: entry x

Entry w
VASP calculation (PBE) on a relaxed Si2Mo2Br crystal.

Output
N(E_F) (states/eV/cell): 9.31

```
data_Si2Mo2Br
_cell_length_a 4.5240
_cell_length_b 4.5240
_cell_length_c 8.8750
_cell_angle_alpha 90.00
_cell_angle_beta 90.00
_cell_angle_gamma 90.00
_symmetry_space_group_name_H-M 'I 4/m m m'
_symmetry_Int_Tables_number 139
_symmetry_space_group_name_Hall '-I 4 2'
loop_
_atom_site_label
_atom_site_fract_x
_atom_site_fract_y
_atom_site_fract_z
_atom_site_occupancy
Si1 0.0000 0.0000 0.1322 1
Mo1 0.0000 0.5000 0.2500 1
Br1 0.0000 0.0000 0.5000 1
```

Entry x
VASP calculation (PBE) on a relaxed Si2Mo2Br crystal.

Output
N(E_F) (states/eV/cell): 7.79

```
data_Si2Mo2Br
_cell_length_a 7.2711
_cell_length_b 7.2711
_cell_length_c 3.0759
_cell_angle_alpha 90.00
_cell_angle_beta 90.00
_cell_angle_gamma 90.00
_symmetry_space_group_name_H-M 'P 4/m b m'
_symmetry_Int_Tables_number 127
_symmetry_space_group_name_Hall '-P 4 2ab'
loop_
_atom_site_label
_atom_site_fract_x
_atom_site_fract_y
_atom_site_fract_z
_atom_site_occupancy
Si1 0.1276 0.3724 0.0000 1
Mo1 0.1586 0.6586 0.5000 1
Br1 0.0000 0.0000 0.0000 1
```

Most stable: entry x

Entry w
VASP calculation (PBE) on a relaxed Si3MoBr crystal.

Output
N(E_F) (states/eV/cell): 5.08

```
data_Si3MoBr
_cell_length_a 4.8090
_cell_length_b 4.8090
_cell_length_c 4.8090
_cell_angle_alpha 90.00
_cell_angle_beta 90.00
_cell_angle_gamma 90.00
_symmetry_space_group_name_H-M 'P m -3 m'
_symmetry_Int_Tables_number 221
_symmetry_space_group_name_Hall '-P 4 2 3'
loop_
_atom_site_label
_atom_site_fract_x
_atom_site_fract_y
_atom_site_fract_z
_atom_site_occupancy
Si1 0.0000 0.0000 0.5000 1
Mo1 0.0000 0.0000 0.0000 1
Br1 0.5000 0.5000 0.5000 1
```

Entry x
VASP calculation (PBE) on a relaxed Si3MoBr crystal.

Output
N(E_F) (states/eV/cell): 5.34

```
data_Si3MoBr
_cell_length_a 4.7807
_cell_length_b 4.7807
_cell_length_c 4.7807
_cell_angle_alpha 90.00
_cell_angle_beta 90.00
_cell_angle_gamma 90.00
_symmetry_space_group_name_H-M 'P m -3 m'
_symmetry_Int_Tables_number 221
_symmetry_space_group_name_Hall '-P 4 2 3'
loop_
_atom_site_label
_atom_site_fract_x
_atom_site_fract_y
_atom_site_fract_z
_atom_site_occupancy
Si1 0.0000 0.0000 0.5000 1
Mo1 0.5000 0.5000 0.5000 1
Br1 0.0000 0.0000 0.0000 1
```

Most stable: entry w

Entry w
VASP calculation (PBE) on a relaxed Sn3MoBr crystal.

Output
N(E_F) (states/eV/cell): 3.13

```
data_Sn3MoBr
_cell_length_a 5.4855
_cell_length_b 5.4855
_cell_length_c 5.4855
_cell_angle_alpha 90.00
_cell_angle_beta 90.00
_cell_angle_gamma 90.00
_symmetry_space_group_name_H-M 'P m -3 m'
_symmetry_Int_Tables_number 221
_symmetry_space_group_name_Hall '-P 4 2 3'
loop_
_atom_site_label
_atom_site_fract_x
_atom_site_fract_y
_atom_site_fract_z
_atom_site_occupancy
Sn1 0.0000 0.0000 0.5000 1
Mo1 0.5000 0.5000 0.5000 1
Br1 0.0000 0.0000 0.0000 1
```

Entry x
VASP calculation (PBE) on a relaxed Sn3MoBr crystal.

Output
N(E_F) (states/eV/cell): 3.06

```
data_Sn3MoBr
_cell_length_a 5.2814
_cell_length_b 5.2814
_cell_length_c 5.2814
_cell_angle_alpha 90.00
_cell_angle_beta 90.00
_cell_angle_gamma 90.00
_symmetry_space_group_name_H-M 'P m -3 m'
_symmetry_Int_Tables_number 221
_symmetry_space_group_name_Hall '-P 4 2 3'
loop_
_atom_site_label
_atom_site_fract_x
_atom_site_fract_y
_atom_site_fract_z
_atom_site_occupancy
Sn1 0.0000 0.0000 0.5000 1
Mo1 0.0000 0.0000 0.0000 1
Br1 0.5000 0.5000 0.5000 1
```

Most stable: entry x

Entry w
VASP calculation (PBE) on a relaxed SrMoBr2 crystal.

Output
N(E_F) (states/eV/cell): 3.05

```
data_SrMoBr2
_cell_length_a 3.4832
_cell_length_b 3.4832
_cell_length_c 8.9925
_cell_angle_alpha 90.00
_cell_angle_beta 90.00
_cell_angle_gamma 90.00
_symmetry_space_group_name_H-M 'P 4 m m'
_symmetry_Int_Tables_number 99
loop_
_symmetry_equiv_pos_as_xyz
'x,y,z'
'-y,x,z'
'-x,-y,z'
'y,-x,z'
'-x,y,z'
'y,x,z'
'x,-y,z'
'-y,-x,z'
loop_
_atom_site_label
_atom_site_fract_x
_atom_site_fract_y
_atom_site_fract_z
_atom_site_occupancy
Sr1 0.0000 0.0000 0.0000 1
Mo1 0.5000 0.5000 0.7131 1
Br1 0.0000 0.0000 0.5986 1
Br2 0.5000 0.5000 0.2055 1
```

Entry x
VASP calculation (PBE) on a relaxed SrMoBr2 crystal.

Output
N(E_F) (states/eV/cell): 5.52

```
data_SrMoBr2
_cell_length_a 4.3278
_cell_length_b 4.3278
_cell_length_c 12.3374
_cell_angle_alpha 90.00
_cell_angle_beta 90.00
_cell_angle_gamma 90.00
_symmetry_space_group_name_H-M 'I -4 m 2'
_symmetry_Int_Tables_number 119
_symmetry_space_group_name_Hall 'I -4 -2'
loop_
_atom_site_label
_atom_site_fract_x
_atom_site_fract_y
_atom_site_fract_z
_atom_site_occupancy
Sr1 0.0000 0.0000 0.0000 1
Mo1 0.0000 0.5000 0.2500 1
Br1 0.0000 0.0000 0.5000 1
Br2 0.0000 0.5000 0.7500 1
```

Most stable: entry w

Entry w
VASP calculation (PBE) on a relaxed SrMoBr crystal.

Output
N(E_F) (states/eV/cell): 2.47

```
data_SrMoBr
_cell_length_a 3.7728
_cell_length_b 3.7728
_cell_length_c 7.1097
_cell_angle_alpha 90.00
_cell_angle_beta 90.00
_cell_angle_gamma 120.00
_symmetry_space_group_name_H-M 'P 3 m 1'
_symmetry_Int_Tables_number 156
loop_
_symmetry_equiv_pos_as_xyz
'x,y,z'
'-y,x-y,z'
'-x+y,-x,z'
'-y,-x,z'
'-x+y,y,z'
'x,x-y,z'
loop_
_atom_site_label
_atom_site_fract_x
_atom_site_fract_y
_atom_site_fract_z
_atom_site_occupancy
Sr1 0.0000 0.0000 0.0000 1
Mo1 0.6667 0.3333 0.6486 1
Br1 0.3333 0.6667 0.3172 1
```

Entry x
VASP calculation (PBE) on a relaxed SrMoBr crystal.

Output
N(E_F) (states/eV/cell): 3.21

```
data_SrMoBr
_cell_length_a 7.8290
_cell_length_b 7.8290
_cell_length_c 7.8290
_cell_angle_alpha 90.00
_cell_angle_beta 90.00
_cell_angle_gamma 90.00
_symmetry_space_group_name_H-M 'F -4 3 m'
_symmetry_Int_Tables_number 216
_symmetry_space_group_name_Hall 'F -4 2 3'
loop_
_atom_site_label
_atom_site_fract_x
_atom_site_fract_y
_atom_site_fract_z
_atom_site_occupancy
Sr1 0.0000 0.0000 0.0000 1
Mo1 0.2500 0.2500 0.2500 1
Br1 0.2500 0.2500 0.7500 1
```

Most stable: entry w

Entry w
VASP calculation (PBE) on a relaxed SrMoBr crystal.

Output
N(E_F) (states/eV/cell): 2.65

```
data_SrMoBr
_cell_length_a 4.8239
_cell_length_b 4.8239
_cell_length_c 4.0115
_cell_angle_alpha 90.00
_cell_angle_beta 90.00
_cell_angle_gamma 120.00
_symmetry_space_group_name_H-M 'P -6 m 2'
_symmetry_Int_Tables_number 187
_symmetry_space_group_name_Hall 'P -6 2'
loop_
_atom_site_label
_atom_site_fract_x
_atom_site_fract_y
_atom_site_fract_z
_atom_site_occupancy
Sr1 0.0000 0.0000 0.0000 1
Mo1 0.3333 0.6667 0.5000 1
Br1 0.6667 0.3333 0.5000 1
```

Entry x
VASP calculation (PBE) on a relaxed SrMoBr crystal.

Output
N(E_F) (states/eV/cell): 4.57

```
data_SrMoBr
_cell_length_a 3.6384
_cell_length_b 3.6384
_cell_length_c 12.8985
_cell_angle_alpha 90.00
_cell_angle_beta 90.00
_cell_angle_gamma 90.00
_symmetry_space_group_name_H-M 'I 4 m m'
_symmetry_Int_Tables_number 107
_symmetry_space_group_name_Hall 'I 4 -2'
loop_
_atom_site_label
_atom_site_fract_x
_atom_site_fract_y
_atom_site_fract_z
_atom_site_occupancy
Sr1 0.0000 0.0000 0.0000 1
Mo1 0.0000 0.0000 0.3244 1
Br1 0.0000 0.0000 0.6554 1
```

Entry y
VASP calculation (PBE) on a relaxed SrMoBr crystal.

Output
N(E_F) (states/eV/cell): 1.99

```
data_SrMoBr
_cell_length_a 7.3855
_cell_length_b 7.3855
_cell_length_c 7.3855
_cell_angle_alpha 90.00
_cell_angle_beta 90.00
_cell_angle_gamma 90.00
_symmetry_space_group_name_H-M 'F -4 3 m'
_symmetry_Int_Tables_number 216
_symmetry_space_group_name_Hall 'F -4 2 3'
loop_
_atom_site_label
_atom_site_fract_x
_atom_site_fract_y
_atom_site_fract_z
_atom_site_occupancy
Sr1 0.0000 0.0000 0.0000 1
Mo1 0.0000 0.0000 0.5000 1
Br1 0.2500 0.2500 0.7500 1
```

Most stable: entry x